(1)
LiMg2Te: relaxed, PBE.

Unit cell a=5.1833 b=5.1833 c=5.1833 alpha=60.00 beta=60.00 gamma=60.00
Sites, in units of the cell vectors:
Mg  0.2500  0.2500  0.2500
Te  0.7500  0.7500  0.7500
Li  0.5000  0.5000  0.5000
Mg  0.0000  0.0000  0.0000

## Properties
**Formation energy without anion corrections**: -0.162 eV/atom
**Symmetry**: F-43m
**ρ**: 3088 kg/m³

---

(2)
TlAuBr2: relaxed, PBE.

Unit cell a=3.7296 b=3.7296 c=7.8051 alpha=90.00 beta=90.00 gamma=90.00
Sites, in units of the cell vectors:
Au  0.5000  0.5000  0.7500
Br  0.0000  0.0000  0.9736
Br  0.0000  0.0000  0.5264
Tl  0.5000  0.5000  0.2500

## Properties
**Excess energy over the best structure of this formula in the dataset**: 1.385 eV per formula unit
**Formation energy without anion corrections**: -0.135 eV/atom
**Symmetry**: P4/mmm
**ρ**: 8583 kg/m³

---

(3)
Na16Cd12Pb: relaxed, PBE.

Unit cell a=9.9979 b=9.9979 c=10.2939 alpha=109.79 beta=109.79 gamma=108.46
Sites, in units of the cell vectors:
Na  0.0014  0.6874  0.4092
Na  0.5871  0.2789  0.5909
Cd  0.6428  0.6428  0.8273
Cd  0.1850  0.9982  0.3557
Cd  0.1782  0.3582  0.9907
Pb  0.6210  0.6210  0.3081
Cd  0.3582  0.1782  0.9907
Na  0.4045  0.9967  0.6819
Cd  0.1822  0.8073  0.8192
Na  0.6766  0.4186  0.0092
Cd  0.8221  0.6350  0.6416
Na  0.3228  0.7169  0.3121
Cd  0.6350  0.8221  0.6416
Na  0.3567  0.3567  0.3379
Na  0.3047  0.3047  0.7100
Cd  0.3654  0.0013  0.1800
Cd  0.9982  0.1850  0.3557
Na  0.6415  0.0000  0.9984
Cd  0.8178  0.8178  0.1820
Na  0.9944  0.9944  0.6550
Na  0.7169  0.3228  0.3121
Cd  0.0013  0.3654  0.1800
Na  0.9967  0.4045  0.6819
Na  0.6874  0.0014  0.4092
Na  0.9973  0.9973  0.0015
Na  0.0000  0.6415  0.9984
Na  0.4186  0.6766  0.0092
Cd  0.8073  0.1822  0.8192
Na  0.2789  0.5871  0.5909

## Properties
**Energy of formation from the pure elements**: -0.095 eV/atom
**Symmetry**: Cm
**ρ**: 4016 kg/m³

---

(4)
ErTm5Pd2: relaxed, PBE.

Unit cell a=3.7072 b=6.7671 c=17.9868 alpha=90.00 beta=90.00 gamma=105.90
Sites, in units of the cell vectors:
Tm  0.9465  0.8929  0.9108
Tm  0.0535  0.1071  0.0892
Tm  0.3333  0.6665  0.4475
Pd  0.7163  0.4327  0.3645
Pd  0.2837  0.5673  0.8645
Er  0.3006  0.6011  0.2500
Er  0.6994  0.3989  0.7500
Pd  0.2837  0.5673  0.6355
Tm  0.4305  0.8610  0.7500
Tm  0.5695  0.1390  0.2500
Tm  0.6667  0.3335  0.5525
Tm  0.6667  0.3335  0.9475
Tm  0.0535  0.1071  0.4108
Tm  0.3333  0.6665  0.0525
Pd  0.7163  0.4327  0.1355
Tm  0.9465  0.8929  0.5892

## Properties
**Energy of formation from the pure elements**: -0.391 eV/atom
**Symmetry**: Cmcm
**ρ**: 9373 kg/m³

---

(5)
Ac2TlGa3Pd4: relaxed, PBE.

Unit cell a=4.6039 b=4.6039 c=10.3819 alpha=90.00 beta=90.00 gamma=90.00
Sites, in units of the cell vectors:
Ga  0.0000  0.0000  0.5000
Pd  0.5000  0.5000  0.0000
Ac  0.0000  0.5000  0.7602
Ga  0.0000  0.5000  0.1080
Ga  0.5000  0.0000  0.8920
Pd  0.5000  0.0000  0.6499
Pd  0.0000  0.0000  0.0000
Pd  0.0000  0.5000  0.3501
Tl  0.5000  0.5000  0.5000
Ac  0.5000  0.0000  0.2398

## Properties
**Energy of formation from the pure elements**: -0.719 eV/atom
**Symmetry**: P-4m2
**ρ**: 9759 kg/m³

---

(6)
LiPuPt: relaxed, PBE.

Unit cell a=4.6372 b=4.6372 c=4.6372 alpha=60.00 beta=60.00 gamma=60.00
Last column: magnetic moment on the atom in μB.
Sites, in units of the cell vectors:
Pt  0.2500  0.2500  0.2500  -0.11
Pu  0.0000  0.0000  0.0000  5.19
Li  0.5000  0.5000  0.5000  0.01

## Properties
**Energy of formation from the pure elements**: -0.333 eV/atom
**Excess energy over the best structure of this formula in the dataset**: 0.788 eV per formula unit
**Symmetry**: F-43m
**ρ**: 10504 kg/m³

---

What is the ρ in the fourth record? 9373 kg/m³

---

Which formula does entry 6 have? LiPuPt